Computed, not measured: a geometry-optimized ScPbCl2 structure at the PBE-GGA level of DFT.

Lattice parameters (Å, degrees): 6.4108 6.4108 6.4108 142.49 142.49 54.09
Fractional positions:
1 Pb 0.5000 0.5000 0.0000
2 Cl 0.0000 0.0000 0.0000
3 Cl 0.2500 0.7500 0.5000
4 Sc 0.7500 0.2500 0.5000

Properties
distance to the lowest polymorph of the same formula	632	meV per atom
formation energy from raw total energies	-0.645	eV per atom

---

Computed, not measured: a geometry-optimized ScPbCl structure at the PBE-GGA level of DFT.

Lattice parameters (Å, degrees): 4.6652 4.6652 3.8358 90.00 90.00 120.00
Fractional positions:
1 Pb 0.3333 0.6667 0.3333
2 Sc 0.6667 0.3333 0.8336
3 Cl 0.0000 0.0000 0.8331

Properties
distance to the lowest polymorph of the same formula	382	meV per atom
formation energy from raw total energies	-0.578	eV per atom

---

Computed, not measured: a geometry-optimized ScPbCl2 structure at the PBE-GGA level of DFT.

Lattice parameters (Å, degrees): 3.6283 3.6283 9.5474 90.00 90.00 118.49
Fractional positions:
1 Cl 0.5000 0.5000 0.2843
2 Cl 0.0000 0.0000 0.9416
3 Sc 0.5000 0.5000 0.7695
4 Pb 0.0000 0.0000 0.5046

Properties
distance to the lowest polymorph of the same formula	487	meV per atom
formation energy from raw total energies	-0.789	eV per atom

---

Computed, not measured: a geometry-optimized Sc2PbCl structure at the PBE-GGA level of DFT.

Lattice parameters (Å, degrees): 5.1974 5.1974 5.1974 60.00 60.00 60.00
Fractional positions:
1 Sc 0.0000 0.0000 0.0000
2 Sc 0.2500 0.2500 0.2500
3 Cl 0.5000 0.5000 0.5000
4 Pb 0.7500 0.7500 0.7500

Properties
distance to the lowest polymorph of the same formula	834	meV per atom
formation energy from raw total energies	0.037	eV per atom

---

Computed, not measured: a geometry-optimized ScPbCl2 structure at the PBE-GGA level of DFT.

Lattice parameters (Å, degrees): 3.4122 5.8949 7.5098 38.74 90.00 90.00
Fractional positions:
1 Cl 0.0000 0.0000 0.0000
2 Cl 0.5000 0.5000 0.0000
3 Pb 0.5000 0.5000 0.5000
4 Sc 0.0000 0.0000 0.5000

Properties
distance to the lowest polymorph of the same formula	439	meV per atom
formation energy from raw total energies	-0.837	eV per atom

---

Computed, not measured: a geometry-optimized ScPbCl2 structure at the PBE-GGA level of DFT.

Lattice parameters (Å, degrees): 10.1606 10.1606 10.1606 20.22 20.22 20.22
Fractional positions:
1 Cl 0.9200 0.9200 0.9200
2 Cl 0.0800 0.0800 0.0800
3 Pb 0.5000 0.5000 0.5000
4 Sc 0.0000 0.0000 0.0000

Properties
distance to the lowest polymorph of the same formula	418	meV per atom
formation energy from raw total energies	-0.858	eV per atom

---

> Look up the distance to the lowest polymorph of the same formula of the fifth one.

439 meV per atom

---

> What is the formation energy from raw total energies in the sixth record?

-0.858 eV per atom